1.
3
Lattice="-1.470 -2.710 -0.468 4.425 -2.580 1.042 -3.332 1.140 3.863" Properties=species:S:1:pos:R:3 comment="GGA-PBE CePmAl, optimized geometry" magmom_total_mub_per_fu=0.18 e_above_lowest_polymorph_mev_per_atom=164.1 pbc="T T T"
Pm -0.246 -0.454 -0.078
Al 0.859 -3.147 1.670
Ce -0.990 -0.550 2.845

---

2.
14
Lattice="5.393 -3.226 -0.016 5.393 3.226 -0.016 3.479 0.000 5.233" Properties=species:S:1:pos:R:3 comment="GGA-PBE ZnAg2O4, optimized geometry" formation_energy_uncorrected_ev_per_atom=-0.239 magmom_total_mub_per_fu=0.94 e_above_lowest_polymorph_mev_per_atom=64.6 pbc="T T T"
Ag 6.220 1.615 3.261
Ag 7.178 0.000 0.632
Ag 3.389 0.000 1.236
Ag 6.220 -1.615 3.261
O 9.894 -1.485 4.521
O 5.351 0.000 1.951
O 12.573 0.000 4.585
O 7.884 -1.395 2.017
O 7.884 1.395 2.017
O 7.056 0.000 4.288
O 9.894 1.485 4.521
O 10.775 0.000 2.103
Zn 0.153 0.000 0.056
Zn 8.947 0.000 3.263

---

3.
14
Lattice="9.588 0.000 -0.986 0.000 9.116 0.000 3.464 0.000 7.477" Properties=species:S:1:pos:R:3 comment="GGA-PBE Cs2Sn2Te3, optimized geometry" formation_energy_uncorrected_ev_per_atom=-0.617 magmom_total_mub_per_fu=0.00 e_above_lowest_polymorph_mev_per_atom=9.8 pbc="T T T"
Cs 6.625 1.477 0.930
Cs 1.831 3.081 1.423
Cs 6.427 7.639 5.561
Cs 11.221 6.035 5.068
Te 8.480 4.770 2.391
Te 0.000 0.000 0.000
Te 9.366 0.212 3.606
Te 3.686 8.904 2.884
Te 4.794 4.558 -0.493
Te 4.572 4.346 4.099
Sn 7.297 3.170 4.533
Sn 2.503 1.388 5.026
Sn 5.755 5.946 1.958
Sn 10.548 7.728 1.464

---

4.
6
Lattice="-3.571 3.545 0.288 -1.467 -1.722 3.014 6.431 2.707 2.321" Properties=species:S:1:pos:R:3 comment="GGA-PBE ErInC, optimized geometry" e_tot_ev_per_cell=-31.73 magmom_total_mub_per_fu=0.00 pbc="T T T"
In -0.696 2.780 1.249
In 2.090 1.750 4.373
Er 0.275 0.072 2.530
Er 1.119 4.459 3.092
C -3.004 1.394 1.690
C -2.033 0.430 1.612

---

5.
8
Lattice="-2.295 -0.764 -5.134 1.055 -5.565 0.357 -7.719 -4.297 0.954" Properties=species:S:1:pos:R:3 comment="GGA-PBE NaIn2Ni, optimized geometry" e_tot_ev_per_cell=-23.15 magmom_total_mub_per_fu=0.00 pbc="T T T"
In -6.429 -4.673 -1.135
In -7.754 -4.119 -3.762
In -3.471 -5.285 -4.462
In -3.613 -2.374 -3.777
Na -0.620 -3.164 -2.389
Na -3.642 -6.513 -0.539
Ni 0.000 0.000 0.000
Ni -5.317 -4.113 -3.284

---

6.
4
Lattice="-0.636 -0.862 -3.363 4.935 -3.203 -0.113 -4.977 -2.384 3.405" Properties=species:S:1:pos:R:3 comment="GGA-PBE Tm3Pb, optimized geometry" e_tot_ev_per_cell=-18.04 magmom_total_mub_per_fu=0.00 pbc="T T T"
Tm 0.181 -3.433 0.846
Tm 2.047 -1.966 -1.735
Tm -2.433 -1.994 -0.881
Pb 0.031 -0.020 -0.001

---

7.
4
Lattice="5.642 0.000 0.000 2.821 4.886 0.000 2.821 1.629 4.606" Properties=species:S:1:pos:R:3 comment="GGA-PBE NaAcPuPb, optimized geometry" e_tot_ev_per_cell=-22.83 magmom_total_mub_per_fu=7.58 pbc="T T T"
Na 5.642 3.257 2.303
Ac 8.463 4.886 3.455
Pu 0.000 0.000 0.000
Pb 2.821 1.629 1.152

---

8.
4
Lattice="5.899 0.000 0.000 2.949 5.108 0.000 2.949 1.703 4.816" Properties=species:S:1:pos:R:3 comment="GGA-PBE AcLaCeEr, optimized geometry" e_tot_ev_per_cell=-18.68 magmom_total_mub_per_fu=2.84 pbc="T T T"
Er 0.000 0.000 0.000
Ce 5.899 3.406 2.408
Ac 8.848 5.108 3.612
La 2.949 1.703 1.204